Record 1
IrRu2 after structural relaxation, computed with PBEsol.

Unit cell a=11.6684 b=11.6684 c=11.6684 alpha=161.33 beta=161.33 gamma=26.52
Closest atoms and distances in Å follow each position.
Positions (direct):
Ir 0.2924 0.5424 0.7500  10 Ru 2.66-2.69, 2 Ir 2.70
Ir 0.4576 0.7076 0.7500  10 Ru 2.66-2.69, 2 Ir 2.70
Ir 0.5424 0.2924 0.2500  10 Ru 2.66-2.69, 2 Ir 2.70
Ir 0.7076 0.4576 0.2500  10 Ru 2.66-2.69, 2 Ir 2.70
Ru 0.0420 0.7920 0.2500  6 Ru 2.66-2.69, 6 Ir 2.68-2.69
Ru 0.1254 0.3754 0.7500  4 Ir 2.66-2.67, 8 Ru 2.66-2.68
Ru 0.2080 0.9580 0.2500  6 Ru 2.66-2.69, 6 Ir 2.68-2.69
Ru 0.3754 0.1254 0.2500  4 Ir 2.66-2.67, 8 Ru 2.66-2.68
Ru 0.6246 0.8746 0.7500  4 Ir 2.66-2.67, 8 Ru 2.66-2.68
Ru 0.7920 0.0420 0.7500  6 Ru 2.66-2.69, 6 Ir 2.68-2.69
Ru 0.8746 0.6246 0.2500  4 Ir 2.66-2.67, 8 Ru 2.66-2.68
Ru 0.9580 0.2080 0.7500  6 Ru 2.66-2.69, 6 Ir 2.68-2.69

**Total DFT energy (no corrections)**: -10.05 eV per atom
**Formation energy**: 0.006 eV/atom
**N(E_F)**: 2.87 states/eV/f.u.

Record 2
KCd2Ni after structural relaxation, computed with PBEsol.

Unit cell a=6.9864 b=6.9864 c=6.9864 alpha=90.00 beta=90.00 gamma=90.00
Closest atoms and distances in Å follow each position.
Positions (direct):
K 0.0000 0.0000 0.0000  8 Cd 3.03
K 0.0000 0.5000 0.5000  8 Cd 3.03
K 0.5000 0.0000 0.5000  8 Cd 3.03
K 0.5000 0.5000 0.0000  8 Cd 3.03
Cd 0.2500 0.2500 0.2500  4 K 3.03, 4 Ni 3.03
Cd 0.2500 0.2500 0.7500  4 K 3.03, 4 Ni 3.03
Cd 0.2500 0.7500 0.2500  4 K 3.03, 4 Ni 3.03
Cd 0.2500 0.7500 0.7500  4 K 3.03, 4 Ni 3.03
Cd 0.7500 0.2500 0.2500  4 K 3.03, 4 Ni 3.03
Cd 0.7500 0.2500 0.7500  4 K 3.03, 4 Ni 3.03
Cd 0.7500 0.7500 0.2500  4 K 3.03, 4 Ni 3.03
Cd 0.7500 0.7500 0.7500  4 K 3.03, 4 Ni 3.03
Ni 0.0000 0.0000 0.5000  8 Cd 3.03
Ni 0.0000 0.5000 0.0000  8 Cd 3.03
Ni 0.5000 0.0000 0.0000  8 Cd 3.03
Ni 0.5000 0.5000 0.5000  8 Cd 3.03

**Total DFT energy (no corrections)**: -1.96 eV per atom
**Formation energy**: 0.457 eV/atom
**N(E_F)**: 2.19 states/eV/f.u.

Record 3
YB2 after structural relaxation, computed with PBEsol.

Unit cell a=3.2730 b=3.2730 c=3.8228 alpha=90.00 beta=90.00 gamma=120.00
Closest atoms and distances in Å follow each position.
Positions (direct):
Y 0.0000 0.0000 0.0000  12 B 2.69
B 0.3333 0.6667 0.5000  3 B 1.89
B 0.6667 0.3333 0.5000  3 B 1.89

**Total DFT energy (no corrections)**: -7.60 eV per atom
**Formation energy**: -0.646 eV/atom
**N(E_F)**: 0.94 states/eV/f.u.

Record 4
K2CdHg after structural relaxation, computed with PBEsol.

Unit cell a=3.9345 b=4.5361 c=7.8110 alpha=90.00 beta=90.08 gamma=90.00
Closest atoms and distances in Å follow each position.
Positions (direct):
K 0.0003 0.0000 0.2444  4 Hg 3.56, 4 Cd 3.60-3.61, 3 K 3.82-3.93
K 0.9997 0.0000 0.7556  4 Hg 3.56, 4 Cd 3.60-3.61, 3 K 3.82-3.93
Cd 0.5000 0.5000 0.5000  8 K 3.60-3.61, 2 Hg 3.91, 2 Cd 3.93
Hg 0.5000 0.5000 0.0000  8 K 3.56, 2 Cd 3.91, 2 Hg 3.93

**Total DFT energy (no corrections)**: -1.04 eV per atom
**Formation energy**: -0.033 eV/atom
**N(E_F)**: 2.57 states/eV/f.u.